No. 1
Material: ReAsSe2
Method: DFT, GGA-PBE
State: relaxed

a = 3.072 Å, b = 4.488 Å, c = 11.963 Å
α = 90.00°, β = 90.00°, γ = 90.00°
Space group Imm2 (No. 44)
Unique sites:
Re 0.000 0.000 0.000 [2 per cell]
As 0.000 0.500 0.323 [2 per cell]
Se 0.000 0.000 0.458 [2 per cell]
Se 0.000 0.500 0.665 [2 per cell]

Formation energy without anion corrections, eV per atom: 0.30
DOS(E_F), states/eV/cell: 4.3
VASP energy, hartree per atom: -0.2101


No. 2
Material: LiCu2Ni4
Method: DFT, GGA-PBE
State: relaxed

a = 6.047 Å, b = 6.047 Å, c = 4.676 Å
α = 90.00°, β = 90.00°, γ = 90.00°
Space group I4/mmm (No. 139)
Unique sites:
Li 0.000 0.000 0.000 [2 per cell]
Cu 0.000 0.500 0.250 [4 per cell]
Ni 0.196 0.196 0.500 [8 per cell]

ΔE_f, meV per atom: 140
DOS(E_F), states/eV/cell: 19.9
VASP energy, hartree per atom: -0.1693


No. 3
Material: TaV
Method: DFT, GGA-PBE
State: relaxed

a = 5.413 Å, b = 2.735 Å, c = 5.180 Å
α = 90.00°, β = 121.40°, γ = 90.00°
Space group C2/m (No. 12)
Unique sites:
Ta 0.000 0.000 0.000 [2 per cell]
V 0.000 0.000 0.500 [2 per cell]

ΔE_f, meV per atom: 221
Excess energy over the best structure of this formula in the dataset, eV per atom: 0.1941
DOS(E_F), states/eV/cell: 5.5
VASP energy, hartree per atom: -0.3772